[1]
VASP calculation (GGA-PBE) on a relaxed HfTi2InIr crystal.

abc: 4.613 4.613 5.234
angles: 90.00 90.00 90.00
Atoms (fractional coordinates):
Hf 0.000 0.000 0.000
Ti 0.000 0.500 0.000
Ti 0.500 0.000 0.000
In 0.000 0.000 0.500
Ir 0.500 0.500 0.500

Its raw total energy is -5.994 eV per atom. As for the density of states at the Fermi level: 4.748 states/eV/f.u. The value obtained for the calculated volume is 111.4 Å³/cell. Its energy relative to the elements is 1.474 eV/atom. Its space group is P4/mmm.

=====

[2]
VASP calculation (GGA-PBE) on a relaxed Pm8HC3Cl4 crystal.

abc: 8.262 8.262 8.262
angles: 53.93 53.93 53.93
Atoms (fractional coordinates):
Pm 0.218 0.740 0.740
Pm 0.230 0.230 0.230
Pm 0.260 0.260 0.782
Pm 0.260 0.782 0.260
Pm 0.740 0.218 0.740
Pm 0.740 0.740 0.218
Pm 0.770 0.770 0.770
Pm 0.782 0.260 0.260
H 0.500 0.500 0.500
C 0.000 0.000 0.500
C 0.000 0.500 0.000
C 0.500 0.000 0.000
Cl 0.000 0.000 0.000
Cl 0.000 0.500 0.500
Cl 0.500 0.000 0.500
Cl 0.500 0.500 0.000

Its raw total energy is -5.759 eV per atom. As for the density of states at the Fermi level: 4.788 states/eV/f.u. The value obtained for the calculated volume is 342.2 Å³/cell. Its space group is R-3m.

=====

[3]
VASP calculation (GGA-PBE) on a relaxed GdDyCdGe crystal.

abc: 5.174 5.174 5.174
angles: 60.00 60.00 60.00
Atoms (fractional coordinates):
Gd 0.000 0.000 0.000
Dy 0.500 0.500 0.500
Cd 0.750 0.750 0.750
Ge 0.250 0.250 0.250

Its raw total energy is -6.533 eV per atom. As for the density of states at the Fermi level: 3.673 states/eV/f.u. The value obtained for the calculated volume is 98.0 Å³/cell. Its energy relative to the elements is -0.479 eV/atom. Its space group is F-43m.

=====

[4]
VASP calculation (GGA-PBE) on a relaxed KAgO crystal.

abc: 9.263 5.605 5.792
angles: 90.00 90.00 90.00
Atoms (fractional coordinates):
K 0.152 0.250 0.002
K 0.348 0.750 0.502
K 0.652 0.250 0.498
K 0.848 0.750 0.998
Ag 0.000 0.000 0.500
Ag 0.000 0.500 0.500
Ag 0.500 0.000 0.000
Ag 0.500 0.500 0.000
O 0.086 0.750 0.272
O 0.414 0.250 0.772
O 0.586 0.750 0.228
O 0.914 0.250 0.728

Its raw total energy is -3.705 eV per atom. The value obtained for the calculated volume is 300.7 Å³/cell. Its space group is Pnma. For the formation energy from raw total energies, the calculation gives -0.7359 eV/atom.